# In2SbRh2 PBE-GGA optimized geometry
# Magnetization, μB/atom: 0.0000
# Calculated volume, Å³/atom: 19.16
# E, eV/atom: -5.12
data_In2SbRh2
_chemical_formula_sum 'In4 Sb2 Rh4'
_cell_length_a 7.742
_cell_length_b 7.742
_cell_length_c 3.197
_cell_angle_alpha 90.00
_cell_angle_beta 90.00
_cell_angle_gamma 90.00
_space_group_name_H-M_alt 'P 4/m b m'
_space_group_IT_number 127
_space_group_name_Hall '-P 4 2ab'
loop_
_atom_site_label
_atom_site_type_symbol
_atom_site_fract_x
_atom_site_fract_y
_atom_site_fract_z
In1 In 0.145 0.355 0.000
Sb1 Sb 0.000 0.000 0.500
Rh1 Rh 0.152 0.652 0.500